# 1
Crystalline ThMg2ZnPd2 at its relaxed geometry. Source: Alexandria, functional GGA-PBE.

Unit cell a=5.1485 b=5.1485 c=10.4357 alpha=90.00 beta=90.00 gamma=90.00
Positions (direct):
Th  0.0000  0.0000  0.0000
Th  0.5000  0.5000  0.5000
Mg  0.0000  0.5000  0.2500
Mg  0.0000  0.5000  0.7500
Mg  0.5000  0.0000  0.2500
Mg  0.5000  0.0000  0.7500
Zn  0.0000  0.0000  0.5000
Zn  0.5000  0.5000  0.0000
Pd  0.0000  0.0000  0.2629
Pd  0.0000  0.0000  0.7371
Pd  0.5000  0.5000  0.2371
Pd  0.5000  0.5000  0.7629

Calculated values
* DOS at the Fermi energy: 0.701 states/eV/atom
* calculated formation energy: -0.2288 eV per atom


# 2
Crystalline Mg2TiPd3 at its relaxed geometry. Source: Alexandria, functional GGA-PBE.

Unit cell a=3.1200 b=3.1200 c=9.9372 alpha=90.00 beta=90.00 gamma=90.00
Positions (direct):
Mg  0.0000  0.0000  0.1652
Mg  0.0000  0.0000  0.8348
Ti  0.0000  0.0000  0.5000
Pd  0.5000  0.5000  0.0000
Pd  0.5000  0.5000  0.3411
Pd  0.5000  0.5000  0.6589

Calculated values
* relative energy among the computed polymorphs: 0 meV/atom
* DOS at the Fermi energy: 0.602 states/eV/atom
* calculated formation energy: -0.6662 eV per atom